A geometry-optimized NaCa3P structure. Source: the Alexandria database, functional GGA-PBE.

Values from the calculation:
- DOS at the Fermi energy: 5.21 states/eV/cell
- Formation energy from the elements: -2.19 eV/f.u.
- E above lowest polymorph: 52 meV per atom

Lattice parameters (Å, degrees): 3.8935 7.0741 12.8660 90.00 98.70 90.00
Fractional positions:
Na: 0.0753 0.2500 0.1521
Na: 0.9247 0.7500 0.8479
Ca: 0.3174 0.0110 0.6352
Ca: 0.3174 0.4890 0.6352
Ca: 0.4473 0.2500 0.8953
Ca: 0.5527 0.7500 0.1047
Ca: 0.6826 0.5110 0.3648
Ca: 0.6826 0.9890 0.3648
P: 0.1331 0.7500 0.2657
P: 0.8669 0.2500 0.7343

A geometry-optimized NaCa3P structure. Source: the Alexandria database, functional GGA-PBE.

Values from the calculation:
- DOS at the Fermi energy: 4.50 states/eV/cell
- Formation energy from the elements: -1.56 eV/f.u.
- E above lowest polymorph: 178 meV per atom

Lattice parameters (Å, degrees): 4.8411 4.8411 20.5515 90.00 90.00 120.00
Fractional positions:
Na: 0.0000 0.0000 0.0000
Na: 0.0000 0.0000 0.5000
Ca: 0.0000 0.0000 0.2500
Ca: 0.0000 0.0000 0.7500
Ca: 0.3333 0.6667 0.1160
Ca: 0.3333 0.6667 0.3840
Ca: 0.6667 0.3333 0.6160
Ca: 0.6667 0.3333 0.8840
P: 0.3333 0.6667 0.2500
P: 0.6667 0.3333 0.7500

A geometry-optimized NaCa3P structure. Source: the Alexandria database, functional GGA-PBE.

Values from the calculation:
- DOS at the Fermi energy: 8.44 states/eV/cell
- Formation energy from the elements: -2.11 eV/f.u.
- E above lowest polymorph: 67 meV per atom

Lattice parameters (Å, degrees): 4.0662 10.6133 9.0051 90.00 102.81 90.00
Fractional positions:
Na: 0.2294 0.2500 0.4424
Na: 0.7706 0.7500 0.5576
Ca: 0.1117 0.5680 0.2365
Ca: 0.1117 0.9320 0.2365
Ca: 0.4577 0.7500 0.9210
Ca: 0.5423 0.2500 0.0790
Ca: 0.8883 0.0680 0.7635
Ca: 0.8883 0.4320 0.7635
P: 0.3890 0.2500 0.7645
P: 0.6110 0.7500 0.2355

A geometry-optimized NaCa3P structure. Source: the Alexandria database, functional GGA-PBE.

Values from the calculation:
- DOS at the Fermi energy: 3.03 states/eV/cell
- Formation energy from the elements: -2.37 eV/f.u.
- E above lowest polymorph: 16 meV per atom

Lattice parameters (Å, degrees): 7.0980 7.4061 7.4071 68.99 73.09 73.11
Fractional positions:
Na: 0.2322 0.3868 0.3843
Na: 0.7678 0.6132 0.6157
Ca: 0.2649 0.9317 0.9335
Ca: 0.2696 0.4372 0.8842
Ca: 0.2704 0.8858 0.4376
Ca: 0.7296 0.1142 0.5624
Ca: 0.7304 0.5628 0.1158
Ca: 0.7351 0.0683 0.0665
P: 0.0150 0.1876 0.1869
P: 0.9850 0.8124 0.8131

A geometry-optimized Na5CaP2 structure. Source: the Alexandria database, functional GGA-PBE.

Values from the calculation:
- DOS at the Fermi energy: 5.52 states/eV/cell
- Formation energy from the elements: -1.78 eV/f.u.

Lattice parameters (Å, degrees): 5.2722 5.2722 18.4643 90.00 90.00 120.00
Fractional positions:
Na: 0.0000 0.0000 0.1180
Na: 0.0000 0.0000 0.3820
Na: 0.0000 0.0000 0.6180
Na: 0.0000 0.0000 0.8820
Na: 0.3333 0.6667 0.0513
Na: 0.3333 0.6667 0.2500
Na: 0.3333 0.6667 0.4487
Na: 0.6667 0.3333 0.5513
Na: 0.6667 0.3333 0.7500
Na: 0.6667 0.3333 0.9487
Ca: 0.3333 0.6667 0.7500
Ca: 0.6667 0.3333 0.2500
P: 0.3333 0.6667 0.6050
P: 0.3333 0.6667 0.8950
P: 0.6667 0.3333 0.1050
P: 0.6667 0.3333 0.3950

A geometry-optimized NaCa3P structure. Source: the Alexandria database, functional GGA-PBE.

Values from the calculation:
- DOS at the Fermi energy: 5.48 states/eV/cell
- Formation energy from the elements: 3.14 eV/f.u.
- E above lowest polymorph: 1119 meV per atom

Lattice parameters (Å, degrees): 5.6871 5.6871 5.6871 90.00 90.00 90.00
Fractional positions:
Na: 0.0000 0.0000 0.0000
Ca: 0.0000 0.0000 0.5000
Ca: 0.0000 0.5000 0.0000
Ca: 0.5000 0.0000 0.0000
P: 0.5000 0.5000 0.5000

A geometry-optimized NaCa2P2 structure. Source: the Alexandria database, functional GGA-PBE.

Values from the calculation:
- DOS at the Fermi energy: 1.39 states/eV/cell
- Formation energy from the elements: -3.53 eV/f.u.
- E above lowest polymorph: 76 meV per atom

Lattice parameters (Å, degrees): 8.3315 8.3315 3.3414 90.00 90.00 90.00
Fractional positions:
Na: 0.0000 0.0000 0.0000
Na: 0.5000 0.5000 0.0000
Ca: 0.1337 0.3663 0.0000
Ca: 0.3663 0.8663 0.0000
Ca: 0.6337 0.1337 0.0000
Ca: 0.8663 0.6337 0.0000
P: 0.1667 0.6667 0.5000
P: 0.3333 0.1667 0.5000
P: 0.6667 0.8333 0.5000
P: 0.8333 0.3333 0.5000

A geometry-optimized NaCa3P structure. Source: the Alexandria database, functional GGA-PBE.

Values from the calculation:
- DOS at the Fermi energy: 8.30 states/eV/cell
- Formation energy from the elements: 1.45 eV/f.u.
- E above lowest polymorph: 781 meV per atom

Lattice parameters (Å, degrees): 14.4527 14.4527 14.4527 157.03 157.03 32.71
Fractional positions:
Na: 0.0000 0.0000 0.0000
Na: 0.7500 0.2500 0.5000
Ca: 0.3213 0.3213 0.0000
Ca: 0.3600 0.1259 0.2341
Ca: 0.6787 0.6787 0.0000
Ca: 0.8741 0.1083 0.2341
Ca: 0.8741 0.6400 0.7659
Ca: 0.8917 0.1259 0.7659
P: 0.1436 0.6436 0.5000
P: 0.3564 0.8564 0.5000

A geometry-optimized Na2Ca2P structure. Source: the Alexandria database, functional GGA-PBE.

Values from the calculation:
- DOS at the Fermi energy: 8.62 states/eV/cell
- Formation energy from the elements: -1.22 eV/f.u.

Lattice parameters (Å, degrees): 7.5798 7.5798 6.2967 90.00 90.00 90.00
Fractional positions:
Na: 0.1568 0.3432 0.0000
Na: 0.3432 0.8432 0.0000
Na: 0.6568 0.1568 0.0000
Na: 0.8432 0.6568 0.0000
Ca: 0.1810 0.6810 0.5000
Ca: 0.3190 0.1810 0.5000
Ca: 0.6810 0.8190 0.5000
Ca: 0.8190 0.3190 0.5000
P: 0.0000 0.0000 0.5000
P: 0.5000 0.5000 0.5000

A geometry-optimized NaCa3P structure. Source: the Alexandria database, functional GGA-PBE.

Values from the calculation:
- DOS at the Fermi energy: 6.45 states/eV/cell
- Formation energy from the elements: -2.38 eV/f.u.
- E above lowest polymorph: 15 meV per atom

Lattice parameters (Å, degrees): 7.4389 7.4389 7.2792 90.41 90.41 119.78
Fractional positions:
Na: 0.0000 0.0000 0.0000
Na: 0.9999 0.9999 0.4997
Ca: 0.0044 0.4395 0.2476
Ca: 0.4334 0.4334 0.7495
Ca: 0.4395 0.0044 0.2476
Ca: 0.5609 0.9956 0.7504
Ca: 0.5666 0.5666 0.2483
Ca: 0.9956 0.5609 0.7504
P: 0.3331 0.6670 0.9990
P: 0.6670 0.3331 0.9990

A geometry-optimized NaCa2P structure. Source: the Alexandria database, functional GGA-PBE.

Values from the calculation:
- DOS at the Fermi energy: 2.00 states/eV/cell
- Formation energy from the elements: -2.52 eV/f.u.

Lattice parameters (Å, degrees): 9.4788 9.4788 9.4788 25.79 25.79 25.79
Fractional positions:
Na: 0.0000 0.0000 0.0000
Ca: 0.2191 0.2191 0.2191
Ca: 0.7809 0.7809 0.7809
P: 0.5000 0.5000 0.5000

A geometry-optimized NaCa3P structure. Source: the Alexandria database, functional GGA-PBE.

Values from the calculation:
- DOS at the Fermi energy: 3.26 states/eV/cell
- Formation energy from the elements: 0.99 eV/f.u.
- E above lowest polymorph: 688 meV per atom

Lattice parameters (Å, degrees): 6.6868 6.6868 6.6868 81.15 81.15 81.15
Fractional positions:
Na: 0.0000 0.0000 0.0000
Ca: 0.0131 0.0131 0.5014
Ca: 0.0131 0.5014 0.0131
Ca: 0.5014 0.0131 0.0131
P: 0.7870 0.7870 0.7870

A geometry-optimized NaCa3P structure. Source: the Alexandria database, functional GGA-PBE.

Values from the calculation:
- DOS at the Fermi energy: 21.66 states/eV/cell
- Formation energy from the elements: -1.70 eV/f.u.
- E above lowest polymorph: 150 meV per atom

Lattice parameters (Å, degrees): 10.5386 10.5386 10.5386 60.00 60.00 60.00
Fractional positions:
Na: 0.0000 0.0000 0.0000
Na: 0.0000 0.0000 0.5000
Na: 0.0000 0.5000 0.0000
Na: 0.5000 0.0000 0.0000
Ca: 0.1817 0.1817 0.5683
Ca: 0.1817 0.5683 0.1817
Ca: 0.1817 0.5683 0.5683
Ca: 0.4317 0.4317 0.8183
Ca: 0.4317 0.8183 0.4317
Ca: 0.4317 0.8183 0.8183
Ca: 0.5683 0.1817 0.1817
Ca: 0.5683 0.1817 0.5683
Ca: 0.5683 0.5683 0.1817
Ca: 0.8183 0.4317 0.4317
Ca: 0.8183 0.4317 0.8183
Ca: 0.8183 0.8183 0.4317
P: 0.0000 0.5000 0.5000
P: 0.5000 0.0000 0.5000
P: 0.5000 0.5000 0.0000
P: 0.5000 0.5000 0.5000

A geometry-optimized NaCa3P structure. Source: the Alexandria database, functional GGA-PBE.

Values from the calculation:
- DOS at the Fermi energy: 4.36 states/eV/cell
- Formation energy from the elements: -2.41 eV/f.u.
- E above lowest polymorph: 9 meV per atom

Lattice parameters (Å, degrees): 7.7094 7.7149 8.1981 62.01 62.00 60.05
Fractional positions:
Na: 0.0926 0.0918 0.2217
Na: 0.9074 0.9082 0.7783
Ca: 0.0915 0.5849 0.2369
Ca: 0.4142 0.4144 0.7633
Ca: 0.4142 0.9090 0.7632
Ca: 0.5858 0.0910 0.2368
Ca: 0.5858 0.5856 0.2367
Ca: 0.9085 0.4151 0.7631
P: 0.3308 0.3307 0.5075
P: 0.6692 0.6693 0.4925

A geometry-optimized NaCa3P structure. Source: the Alexandria database, functional GGA-PBE.

Values from the calculation:
- DOS at the Fermi energy: 5.63 states/eV/cell
- Formation energy from the elements: -0.78 eV/f.u.
- E above lowest polymorph: 335 meV per atom

Lattice parameters (Å, degrees): 10.4879 10.4879 10.4879 144.60 144.60 50.94
Fractional positions:
Na: 0.1884 0.1884 0.0000
Na: 0.8116 0.8116 0.0000
Ca: 0.0379 0.5379 0.5000
Ca: 0.1203 0.3691 0.7512
Ca: 0.4621 0.9621 0.5000
Ca: 0.6178 0.3691 0.2488
Ca: 0.6309 0.3822 0.7512
Ca: 0.6309 0.8797 0.2488
P: 0.5000 0.5000 0.0000
P: 0.7500 0.2500 0.5000

A geometry-optimized Na2Ca4P structure. Source: the Alexandria database, functional GGA-PBE.

Values from the calculation:
- DOS at the Fermi energy: 4.93 states/eV/cell
- Formation energy from the elements: -1.75 eV/f.u.

Lattice parameters (Å, degrees): 9.7769 9.7769 9.7769 147.20 147.20 47.06
Fractional positions:
Na: 0.1444 0.1444 0.0000
Na: 0.8556 0.8556 0.0000
Ca: 0.0000 0.5000 0.5000
Ca: 0.3403 0.3403 0.0000
Ca: 0.5000 0.0000 0.5000
Ca: 0.6597 0.6597 0.0000
P: 0.5000 0.5000 0.0000

A geometry-optimized NaCa2P2 structure. Source: the Alexandria database, functional GGA-PBE.

Values from the calculation:
- DOS at the Fermi energy: 1.50 states/eV/cell
- Formation energy from the elements: -3.91 eV/f.u.
- E above lowest polymorph: 0 meV per atom

Lattice parameters (Å, degrees): 8.2630 8.2630 3.4476 90.00 90.00 90.00
Fractional positions:
Na: 0.0000 0.0000 0.0000
Na: 0.5000 0.5000 0.0000
Ca: 0.1368 0.3632 0.5000
Ca: 0.3632 0.8632 0.5000
Ca: 0.6368 0.1368 0.5000
Ca: 0.8632 0.6368 0.5000
P: 0.1646 0.6646 0.0000
P: 0.3354 0.1646 0.0000
P: 0.6646 0.8354 0.0000
P: 0.8354 0.3354 0.0000

A geometry-optimized NaCa2P structure. Source: the Alexandria database, functional GGA-PBE.

Values from the calculation:
- DOS at the Fermi energy: 5.85 states/eV/cell
- Formation energy from the elements: -1.41 eV/f.u.

Lattice parameters (Å, degrees): 7.1188 7.1188 7.1188 106.46 106.46 115.69
Fractional positions:
Na: 0.0000 0.0000 0.0000
Na: 0.7500 0.2500 0.5000
Ca: 0.2057 0.6250 0.0807
Ca: 0.3750 0.4557 0.5807
Ca: 0.5443 0.1250 0.9193
Ca: 0.8750 0.7943 0.4193
P: 0.2500 0.7500 0.5000
P: 0.5000 0.5000 0.0000

A geometry-optimized NaCaP3 structure. Source: the Alexandria database, functional GGA-PBE.

Values from the calculation:
- DOS at the Fermi energy: 2.99 states/eV/cell
- Formation energy from the elements: 2.98 eV/f.u.
- E above lowest polymorph: 0 meV per atom

Lattice parameters (Å, degrees): 4.8736 4.8736 4.8736 90.00 90.00 90.00
Fractional positions:
Na: 0.0000 0.0000 0.0000
Ca: 0.5000 0.5000 0.5000
P: 0.0000 0.0000 0.5000
P: 0.0000 0.5000 0.0000
P: 0.5000 0.0000 0.0000

A geometry-optimized NaCa2P2 structure. Source: the Alexandria database, functional GGA-PBE.

Values from the calculation:
- DOS at the Fermi energy: 2.99 states/eV/cell
- Formation energy from the elements: -2.80 eV/f.u.
- E above lowest polymorph: 222 meV per atom

Lattice parameters (Å, degrees): 6.3223 6.3223 6.3223 132.74 132.74 69.06
Fractional positions:
Na: 0.0000 0.0000 0.0000
Ca: 0.2500 0.7500 0.5000
Ca: 0.7500 0.2500 0.5000
P: 0.3879 0.3879 0.0000
P: 0.6121 0.6121 0.0000

no.,electronic total energy (eV per atom)
1,-2.99
2,-2.86
3,-2.97
4,-3.02
5,-2.65
6,-1.92
7,-3.93
8,-2.26
9,-2.65
10,-3.02
11,-3.31
12,-2.35
13,-2.89
14,-3.03
15,-2.70
16,-2.54
17,-4.01
18,-3.04
19,-3.32
20,-3.79